[1]
# NaLaHPb2

An optimized crystal structure of NaLaHPb2 (PBE, Alexandria via LeMat-Bulk).

```
data_NaLaHPb2
_space_group_name_H-M_alt 'P 4/m m m'
_space_group_IT_number 123
_space_group_name_Hall '-P 4 2'
_cell_length_a 5.1545
_cell_length_b 5.1545
_cell_length_c 4.6740
_cell_angle_alpha 90.00
_cell_angle_beta 90.00
_cell_angle_gamma 90.00
loop_
_atom_site_label
_atom_site_fract_x
_atom_site_fract_y
_atom_site_fract_z
Na1 0.0000 0.0000 0.0000
La1 0.5000 0.5000 0.0000
H1 0.5000 0.5000 0.5000
Pb1 0.0000 0.5000 0.5000
```

* M_tot: 0.0 Bohr magnetons per cell
* VASP energy: -18.26 eV per cell



[2]
# NaLa2HPd

An optimized crystal structure of NaLa2HPd (PBE, Alexandria via LeMat-Bulk).

```
data_NaLa2HPd
_space_group_name_H-M_alt 'P 4/m m m'
_space_group_IT_number 123
_space_group_name_Hall '-P 4 2'
_cell_length_a 5.3702
_cell_length_b 5.3702
_cell_length_c 3.9763
_cell_angle_alpha 90.00
_cell_angle_beta 90.00
_cell_angle_gamma 90.00
loop_
_atom_site_label
_atom_site_fract_x
_atom_site_fract_y
_atom_site_fract_z
Na1 0.0000 0.0000 0.0000
La1 0.0000 0.5000 0.5000
H1 0.5000 0.5000 0.5000
Pd1 0.5000 0.5000 0.0000
```

* M_tot: 0.4 Bohr magnetons per cell
* VASP energy: -20.67 eV per cell



[3]
# NaLaH6Pd2

An optimized crystal structure of NaLaH6Pd2 (PBE, Alexandria via LeMat-Bulk).

```
data_NaLaH6Pd2
_space_group_name_H-M_alt 'C 1 2/c 1'
_space_group_IT_number 15
_cell_length_a 7.2624
_cell_length_b 11.3732
_cell_length_c 5.3826
_cell_angle_alpha 90.00
_cell_angle_beta 93.55
_cell_angle_gamma 90.00
loop_
_space_group_symop_operation_xyz
'x,y,z'
'-x,-y,-z'
'-x,y,-z+1/2'
'x,-y,z+1/2'
'x+1/2,y+1/2,z'
'-x+1/2,-y+1/2,-z'
'-x+1/2,y+1/2,-z+1/2'
'x+1/2,-y+1/2,z+1/2'
loop_
_atom_site_label
_atom_site_fract_x
_atom_site_fract_y
_atom_site_fract_z
Na1 0.0000 0.1427 0.2500
La1 0.0000 0.3405 0.7500
H1 0.0079 0.1018 0.8925
H2 0.1626 0.4933 0.4995
H3 0.2058 0.2787 0.2196
Pd1 0.2137 0.0769 0.7501
```

* M_tot: 0.0 Bohr magnetons per cell
* VASP energy: -158.36 eV per cell